# CsNa2MgSb

A relaxed CsNa2MgSb crystal (GGA-PBE, Alexandria via LeMat-Bulk).

The structure in POSCAR format:
```
CsNa2MgSb
1.0
6.087 0.000 0.000
0.000 6.087 0.000
0.000 0.000 5.957
Cs Na Sb Mg
1 2 1 1
Cartesian
3.044 3.044 2.979 Cs
0.000 3.044 0.000 Na
3.044 0.000 0.000 Na
0.000 0.000 0.000 Sb
0.000 0.000 2.979 Mg
```

Computed properties:
VASP energy ... -9.74 eV per cell
Raw formation energy ... -106 meV per atom
Spin magnetization ... 0.00 μB/f.u.